{"formula": "PuPa2S5", "functional": "PBE", "state": "optimized geometry", "crystal_system": "orthorhombic", "spacegroup": "No. 62", "e_form_raw_ev_per_fu": -13.29, "cell": [[11.810, 0.000, 0.000], [0.000, 7.816, 0.000], [0.000, 0.000, 7.322]], "species": ["Pu", "Pu", "Pu", "Pu", "Pa", "Pa", "Pa", "Pa", "Pa", "Pa", "Pa", "Pa", "S", "S", "S", "S", "S", "S", "S", "S", "S", "S", "S", "S", "S", "S", "S", "S", "S", "S", "S", "S"], "fractional_positions": [[0.005, 0.250, 0.076], [0.495, 0.750, 0.576], [0.505, 0.250, 0.424], [0.995, 0.750, 0.924], [0.180, 0.001, 0.515], [0.180, 0.499, 0.515], [0.320, 0.501, 0.015], [0.320, 0.999, 0.015], [0.680, 0.001, 0.985], [0.680, 0.499, 0.985], [0.820, 0.501, 0.485], [0.820, 0.999, 0.485], [0.001, 0.250, 0.468], [0.105, 0.544, 0.165], [0.105, 0.956, 0.165], [0.187, 0.250, 0.824], [0.216, 0.750, 0.794], [0.284, 0.250, 0.294], [0.313, 0.750, 0.324], [0.395, 0.044, 0.665], [0.395, 0.456, 0.665], [0.499, 0.750, 0.968], [0.501, 0.250, 0.032], [0.605, 0.544, 0.335], [0.605, 0.956, 0.335], [0.687, 0.250, 0.676], [0.716, 0.750, 0.706], [0.784, 0.250, 0.206], [0.813, 0.750, 0.176], [0.895, 0.044, 0.835], [0.895, 0.456, 0.835], [0.999, 0.750, 0.532]]}

***

{"formula": "CsBaBi4", "functional": "PBE", "state": "optimized geometry", "crystal_system": "hexagonal", "spacegroup": "No. 191", "polymorph_energy_kj_per_mol_fu": 0, "e_form_mev_per_atom": -441.5, "cell": [[5.390, 0.000, 0.000], [-2.695, 4.668, 0.000], [0.000, 0.000, 10.802]], "species": ["Cs", "Ba", "Bi", "Bi", "Bi", "Bi"], "fractional_positions": [[0.000, 0.000, 0.000], [0.000, 0.000, 0.500], [0.333, 0.667, 0.275], [0.333, 0.667, 0.725], [0.667, 0.333, 0.275], [0.667, 0.333, 0.725]]}

***

{"formula": "Li3CeNp2Te6", "functional": "PBE", "state": "optimized geometry", "crystal_system": "monoclinic", "spacegroup": "No. 12", "e_form_raw_ev_per_fu": -11.21, "cell": [[3.818, -6.613, 0.000], [3.818, 6.613, 0.000], [-2.545, 0.000, 7.059]], "species": ["Li", "Li", "Li", "Ce", "Np", "Np", "Te", "Te", "Te", "Te", "Te", "Te"], "fractional_positions": [[0.000, 0.000, 0.000], [0.333, 0.667, 0.000], [0.667, 0.333, 0.000], [0.500, 0.500, 0.500], [0.167, 0.833, 0.500], [0.833, 0.167, 0.500], [0.076, 0.414, 0.241], [0.249, 0.249, 0.760], [0.414, 0.076, 0.241], [0.586, 0.924, 0.759], [0.751, 0.751, 0.240], [0.924, 0.586, 0.759]]}

***

{"formula": "CsNa3Hg3", "functional": "PBE", "state": "optimized geometry", "crystal_system": "cubic", "spacegroup": "No. 223", "e_form_mev_per_atom": -60.0, "cell": [[8.510, 0.000, 0.000], [0.000, 8.510, 0.000], [0.000, 0.000, 8.510]], "species": ["Cs", "Cs", "Na", "Na", "Na", "Na", "Na", "Na", "Hg", "Hg", "Hg", "Hg", "Hg", "Hg"], "fractional_positions": [[0.000, 0.000, 0.000], [0.500, 0.500, 0.500], [0.000, 0.250, 0.500], [0.000, 0.750, 0.500], [0.250, 0.500, 0.000], [0.500, 0.000, 0.250], [0.500, 0.000, 0.750], [0.750, 0.500, 0.000], [0.000, 0.500, 0.250], [0.000, 0.500, 0.750], [0.250, 0.000, 0.500], [0.500, 0.250, 0.000], [0.500, 0.750, 0.000], [0.750, 0.000, 0.500]]}

***

{"formula": "LaTmAu", "functional": "PBE", "state": "optimized geometry", "crystal_system": "orthorhombic", "spacegroup": "No. 62", "polymorph_energy_kj_per_mol_fu": 1, "e_form_mev_per_atom": -603.8, "cell": [[8.272, 0.000, 0.000], [0.000, 4.911, 0.000], [0.000, 0.000, 8.358]], "species": ["La", "La", "La", "La", "Tm", "Tm", "Tm", "Tm", "Au", "Au", "Au", "Au"], "fractional_positions": [[0.040, 0.250, 0.156], [0.460, 0.750, 0.656], [0.540, 0.250, 0.344], [0.960, 0.750, 0.844], [0.141, 0.250, 0.577], [0.359, 0.750, 0.077], [0.641, 0.250, 0.923], [0.859, 0.750, 0.423], [0.207, 0.750, 0.389], [0.293, 0.250, 0.889], [0.707, 0.750, 0.111], [0.793, 0.250, 0.611]]}

***

{"formula": "K4RbGe4", "functional": "PBE", "state": "optimized geometry", "crystal_system": "tetragonal", "spacegroup": "No. 86", "e_form_mev_per_atom": -22.7, "cell": [[10.731, 0.000, 0.000], [0.000, 10.731, 0.000], [0.000, 0.000, 6.864]], "species": ["K", "K", "K", "K", "K", "K", "K", "K", "Rb", "Rb", "Ge", "Ge", "Ge", "Ge", "Ge", "Ge", "Ge", "Ge"], "fractional_positions": [[0.089, 0.651, 0.097], [0.151, 0.911, 0.597], [0.349, 0.589, 0.597], [0.411, 0.849, 0.097], [0.589, 0.151, 0.903], [0.651, 0.411, 0.403], [0.849, 0.089, 0.403], [0.911, 0.349, 0.903], [0.250, 0.250, 0.250], [0.750, 0.750, 0.750], [0.027, 0.583, 0.596], [0.083, 0.973, 0.096], [0.417, 0.527, 0.096], [0.473, 0.917, 0.596], [0.527, 0.083, 0.404], [0.583, 0.473, 0.904], [0.917, 0.027, 0.904], [0.973, 0.417, 0.404]]}

***

Total moment (μB per formula unit)
7.3, 0.0, 9.0, 0.0, 0.0, 0.0